(1)
Below is crystalline Rb2CrRh at its relaxed geometry, with properties calculated at the PBE level.

Output
Spin magnetization = 8.94 μB per cell
Energy of formation from the pure elements = 768 meV per atom
Space-group type = I-42d (122)
E above lowest polymorph = 0.0000 eV/atom
Calculated volume = 48.27 Å³ per atom

Unit cell a=12.8671 b=12.8671 c=9.3926 alpha=46.77 beta=46.77 gamma=90.00
Last column: nearest neighbours and their distance in Å.
Element x y z (fractional)
Cr (0.5000, 0.5000, 0.0000)  2 Rh 2.33
Cr (0.2500, 0.7500, 0.5000)  2 Rh 2.33
Rh (0.0000, 0.0000, 0.0000)  2 Cr 2.33
Rh (0.7500, 0.2500, 0.5000)  2 Cr 2.33
Rb (0.8089, 0.1250, 0.2500)  2 Rh 3.38, 2 Cr 3.76
Rb (0.9411, 0.6250, 0.2500)  2 Rh 3.38, 2 Cr 3.76
Rb (0.3750, 0.1911, 0.7500)  2 Rh 3.38, 2 Cr 3.76
Rb (0.8750, 0.0589, 0.7500)  2 Rh 3.38, 2 Cr 3.76

---

(2)
Below is crystalline Cs2NiP2 at its relaxed geometry, with properties calculated at the PBE level.

Output
Spin magnetization = 0.96 μB per cell
Energy of formation from the pure elements = 98 meV per atom
Space-group type = P4/mbm (127)
Calculated volume = 24.86 Å³ per atom

Unit cell a=6.4488 b=6.4488 c=5.9774 alpha=90.00 beta=90.00 gamma=90.00
Last column: nearest neighbours and their distance in Å.
Element x y z (fractional)
Cs (0.1815, 0.6815, 0.5000)  5 Cs 3.31-3.34, 6 P 3.46-3.61
Cs (0.6815, 0.8185, 0.5000)  5 Cs 3.31-3.34, 6 P 3.46-3.61
Cs (0.8185, 0.3185, 0.5000)  5 Cs 3.31-3.34, 6 P 3.46-3.61
Cs (0.3185, 0.1815, 0.5000)  5 Cs 3.31-3.34, 6 P 3.46-3.61
Ni (0.0000, 0.0000, 0.0000)  4 P 2.54
Ni (0.5000, 0.5000, 0.0000)  4 P 2.54
P (0.3729, 0.8729, 0.0000)  1 P 2.32, 2 Ni 2.54
P (0.8729, 0.6271, 0.0000)  1 P 2.32, 2 Ni 2.54
P (0.6271, 0.1271, 0.0000)  1 P 2.32, 2 Ni 2.54
P (0.1271, 0.3729, 0.0000)  1 P 2.32, 2 Ni 2.54

---

(3)
Below is crystalline NdSm15Dy4 at its relaxed geometry, with properties calculated at the PBE level.

Output
Spin magnetization = 0.00 μB per cell
Energy of formation from the pure elements = 16 meV per atom
Space-group type = P4/mmm (123)
Calculated volume = 33.36 Å³ per atom

Unit cell a=5.1118 b=5.1118 c=25.5316 alpha=90.00 beta=90.00 gamma=90.00
Last column: nearest neighbours and their distance in Å.
Element x y z (fractional)
Nd (0.0000, 0.0000, 0.0000)  12 Sm 3.61-3.64
Sm (0.5000, 0.5000, 0.0000)  4 Nd 3.61, 8 Sm 3.64
Sm (0.5000, 0.5000, 0.2015)  8 Sm 3.60-3.61, 4 Dy 3.61
Sm (0.5000, 0.5000, 0.4003)  8 Sm 3.60-3.61, 4 Dy 3.61
Sm (0.5000, 0.5000, 0.5997)  8 Sm 3.60-3.61, 4 Dy 3.61
Sm (0.5000, 0.5000, 0.7985)  8 Sm 3.60-3.61, 4 Dy 3.61
Sm (0.5000, 0.0000, 0.1015)  2 Dy 3.61, 8 Sm 3.61-3.64, 2 Nd 3.64
Sm (0.5000, 0.0000, 0.3008)  8 Sm 3.60-3.61, 4 Dy 3.61
Sm (0.5000, 0.0000, 0.5000)  4 Dy 3.61, 8 Sm 3.61
Sm (0.5000, 0.0000, 0.6992)  8 Sm 3.60-3.61, 4 Dy 3.61
Sm (0.5000, 0.0000, 0.8985)  2 Dy 3.61, 8 Sm 3.61-3.64, 2 Nd 3.64
Sm (0.0000, 0.5000, 0.1015)  2 Dy 3.61, 8 Sm 3.61-3.64, 2 Nd 3.64
Sm (0.0000, 0.5000, 0.3008)  8 Sm 3.60-3.61, 4 Dy 3.61
Sm (0.0000, 0.5000, 0.5000)  4 Dy 3.61, 8 Sm 3.61
Sm (0.0000, 0.5000, 0.6992)  8 Sm 3.60-3.61, 4 Dy 3.61
Sm (0.0000, 0.5000, 0.8985)  2 Dy 3.61, 8 Sm 3.61-3.64, 2 Nd 3.64
Dy (0.0000, 0.0000, 0.2012)  12 Sm 3.61
Dy (0.0000, 0.0000, 0.4004)  12 Sm 3.61
Dy (0.0000, 0.0000, 0.5996)  12 Sm 3.61
Dy (0.0000, 0.0000, 0.7988)  12 Sm 3.61